Record 1
Here is a relaxed RbAg2Te2 crystal from Alexandria. Energies are from GGA-PBE.

abc: 5.611 5.611 6.992
angles: 66.34 66.34 90.00
Positions (direct):
Ag: 0.302 0.302 0.395
Ag: 0.698 0.698 0.605
Te: 0.750 0.250 0.500
Te: 0.250 0.750 0.500
Rb: 0.000 0.000 0.000

Formation energy (no corrections): -0.303 eV per atom
Space-group type: I4/mmm


Record 2
Here is a relaxed BeCrSe crystal from Alexandria. Energies are from GGA-PBE.

abc: 3.928 3.928 3.091
angles: 90.00 90.00 120.00
Positions (direct):
Se: 0.333 0.667 0.500
Cr: 0.667 0.333 0.500
Be: 0.000 0.000 0.000

Formation energy (no corrections): 0.506 eV per atom
Space-group type: P-6m2


Record 3
Here is a relaxed La9Tl3Ga2 crystal from Alexandria. Energies are from GGA-PBE.

abc: 7.380 14.315 14.315
angles: 33.07 39.39 39.39
Positions (direct):
La: 0.000 0.500 0.500
La: 0.337 0.356 0.916
La: 0.663 0.084 0.644
La: 0.663 0.644 0.084
La: 0.337 0.916 0.356
La: 0.848 0.916 0.356
La: 0.152 0.644 0.084
La: 0.152 0.084 0.644
La: 0.848 0.356 0.916
Ga: 0.500 0.351 0.649
Ga: 0.500 0.649 0.351
Tl: 0.000 0.000 0.000
Tl: 0.669 0.277 0.277
Tl: 0.331 0.723 0.723

E_form: -0.136 eV per atom
Space-group type: C2/m


Record 4
Here is a relaxed Ce4GeBi3 crystal from Alexandria. Energies are from GGA-PBE.

abc: 7.790 7.832 9.028
angles: 90.00 90.00 109.49
Positions (direct):
Ce: 0.499 0.768 0.115
Ce: 0.001 0.232 0.115
Ce: 0.511 0.759 0.636
Ce: 0.989 0.241 0.636
Ce: 0.999 0.768 0.885
Ce: 0.011 0.759 0.364
Ce: 0.489 0.241 0.364
Ce: 0.501 0.232 0.885
Ge: 0.750 0.000 0.875
Ge: 0.250 0.000 0.125
Bi: 0.250 0.000 0.625
Bi: 0.750 0.500 0.624
Bi: 0.750 0.000 0.375
Bi: 0.250 0.500 0.376
Bi: 0.250 0.500 0.875
Bi: 0.750 0.500 0.125

E_form: -0.749 eV per atom
Space-group type: P2/c


Record 5
Here is a relaxed Ir2RuAu crystal from Alexandria. Energies are from GGA-PBE.

abc: 5.567 5.567 5.567
angles: 151.60 129.98 58.52
Positions (direct):
Ru: 0.750 0.250 0.500
Au: 0.250 0.750 0.500
Ir: 0.519 0.519 0.000
Ir: 0.981 0.981 0.000

E_form: 0.403 eV per atom
Space-group type: Immm


Record 6
Here is a relaxed HfBTe2N crystal from Alexandria. Energies are from GGA-PBE.

abc: 5.720 5.720 3.951
angles: 90.00 90.00 90.00
Positions (direct):
B: 0.500 0.500 0.500
Te: 0.500 0.000 0.000
Te: 0.000 0.500 0.000
Hf: 0.000 0.000 0.000
N: 0.000 0.000 0.500

Formation energy (no corrections): 0.885 eV per atom
Space-group type: P4/mmm


Record 7
Here is a relaxed BeAl2As crystal from Alexandria. Energies are from GGA-PBE.

abc: 4.665 4.665 5.813
angles: 65.84 65.84 34.96
Positions (direct):
As: 0.584 0.584 0.515
Al: 0.938 0.938 0.097
Al: 0.778 0.778 0.749
Be: 0.200 0.200 0.139

E_form: 0.175 eV per atom
Space-group type: Cm


Record 8
Here is a relaxed MgTl2Ag2 crystal from Alexandria. Energies are from GGA-PBE.

abc: 7.420 7.420 4.343
angles: 90.00 90.00 90.00
Positions (direct):
Ag: 0.364 0.864 0.000
Ag: 0.864 0.636 0.000
Ag: 0.136 0.364 0.000
Ag: 0.636 0.136 0.000
Mg: 0.000 0.000 0.000
Mg: 0.500 0.500 0.000
Tl: 0.670 0.830 0.500
Tl: 0.830 0.330 0.500
Tl: 0.330 0.170 0.500
Tl: 0.170 0.670 0.500

E_form: 0.067 eV per atom
Space-group type: P4/mbm


Record 9
Here is a relaxed CrReWCl2 crystal from Alexandria. Energies are from GGA-PBE.

abc: 4.669 5.108 4.669
angles: 90.00 90.00 90.00
Positions (direct):
Cr: 0.500 0.500 0.500
Re: 0.000 0.000 0.000
Cl: 0.000 0.000 0.500
Cl: 0.500 0.000 0.000
W: 0.000 0.500 0.000

Formation energy (no corrections): 1.463 eV per atom
Space-group type: P4/mmm


Record 10
Here is a relaxed PrNd2Th crystal from Alexandria. Energies are from GGA-PBE.

abc: 3.659 3.659 23.859
angles: 90.00 90.00 120.00
Positions (direct):
Th: 0.000 0.000 0.000
Th: 0.000 0.000 0.500
Nd: 0.333 0.667 0.121
Nd: 0.667 0.333 0.879
Nd: 0.333 0.667 0.379
Nd: 0.667 0.333 0.621
Pr: 0.333 0.667 0.750
Pr: 0.667 0.333 0.250

E_form: 0.024 eV per atom
Space-group type: P6_3/mmc


Calculated magnetization, 0.00, 0.56, 0.00, 5.63, 0.00, 0.00, 0.00, 0.00, 2.96, 0.00 Bohr magnetons per cell (same order as the records).